## Ni3B7IO13 (GGA-PBEsol)

Data for crystalline Ni3B7IO13 at its relaxed geometry.

- space-group type = No. 219
- formation energy without anion corrections (kcal/mol of atoms) = -44.3

```
Ni3B7IO13
1.0
8.441 0.000 0.000
4.221 7.310 0.000
4.221 2.437 6.892
O B I Ni
26 14 2 6
Cartesian
10.305 2.672 6.226
9.144 1.190 2.036
4.900 6.107 2.036
9.144 7.190 3.890
10.096 3.107 3.890
0.000 0.000 0.000
6.084 4.324 3.890
9.416 3.526 1.633
8.441 4.874 3.446
5.603 4.361 6.226
9.416 7.588 6.226
11.280 7.324 2.036
11.983 3.955 5.079
6.578 6.761 0.443
7.466 2.715 2.780
5.875 2.266 5.079
9.823 4.887 5.482
7.059 6.797 2.780
7.762 3.670 5.482
7.738 6.064 5.482
10.798 5.109 2.780
7.738 2.316 0.443
9.121 6.392 1.633
6.787 4.703 1.633
7.466 8.400 5.079
11.007 5.544 0.443
8.441 6.440 2.892
12.662 7.310 1.661
10.552 3.655 5.169
9.798 8.964 6.338
8.441 2.437 1.723
12.662 4.003 6.338
8.441 7.310 5.169
9.798 4.090 2.892
8.441 4.874 5.107
15.526 8.964 6.338
7.085 4.090 2.892
6.331 6.092 1.723
6.331 3.655 5.169
10.552 6.092 1.723
4.221 2.437 1.723
12.662 7.310 5.169
4.221 4.874 3.446
6.331 1.218 3.446
6.331 3.655 0.000
2.110 1.218 3.446
2.110 3.655 0.000
4.221 0.000 0.000
```

=====

## RhSBrCl2 (GGA-PBEsol)

Data for crystalline RhSBrCl2 at its relaxed geometry.

- space-group type = No. 123
- formation energy without anion corrections (kcal/mol of atoms) = 2.4

```
RhSBrCl2
1.0
4.481 0.000 0.000
0.000 4.743 0.000
0.000 0.000 4.743
Br S Rh Cl
1 1 1 2
Cartesian
2.241 2.371 2.371
2.241 0.000 0.000
0.000 0.000 0.000
0.000 0.000 2.371
0.000 2.371 0.000
```

=====

## TaZn3Cl (GGA-PBEsol)

Data for crystalline TaZn3Cl at its relaxed geometry.

- space-group type = No. 221
- formation energy without anion corrections (kcal/mol of atoms) = 27.6

```
TaZn3Cl
1.0
-2.369 -1.110 3.713
0.443 -4.401 -1.033
3.850 -0.177 2.404
Zn Cl Ta
3 1 1
Cartesian
-1.185 -0.555 1.856
1.925 -0.088 1.202
0.222 -2.200 -0.517
0.000 0.000 0.000
0.962 -2.844 2.542
```

=====

## LiMgZn2 (GGA-PBEsol)

Data for crystalline LiMgZn2 at its relaxed geometry.

- space-group type = No. 44
- formation enthalpy at 0 K (eV/atom) = -0.103

```
LiMgZn2
1.0
3.226 0.000 0.000
0.000 4.467 0.000
-1.613 -2.234 4.378
Li Zn Mg
1 2 1
Cartesian
0.000 0.000 4.239
0.000 0.000 0.145
1.613 0.000 2.120
0.000 2.234 2.252
```

=====

## Zn2CdTe (GGA-PBEsol)

Data for crystalline Zn2CdTe at its relaxed geometry.

- space-group type = No. 119
- formation energy without anion corrections (kcal/mol of atoms) = 3.3
- offset from the most stable computed form (meV/atom) = 67.5

```
Zn2CdTe
1.0
-0.155 -2.411 3.007
-1.482 -2.741 -2.274
6.322 0.648 -1.630
Te Zn Cd
1 2 1
Cartesian
2.011 -2.335 -1.768
2.675 -2.170 0.872
0.000 0.000 0.000
-0.818 -2.576 0.367
```

=====

## TaFePbW2 (GGA-PBEsol)

Data for crystalline TaFePbW2 at its relaxed geometry.

- space-group type = No. 123
- formation enthalpy at 0 K (eV/atom) = 2.061

```
TaFePbW2
1.0
-3.373 1.444 2.632
-1.686 -4.528 0.324
2.743 -0.740 3.922
W Ta Pb Fe
2 1 1 1
Cartesian
1.372 -0.370 1.961
-0.843 -2.264 0.162
0.000 0.000 0.000
-1.158 -1.912 3.439
-1.687 0.722 1.316
```

=====

## TcP2IrO (GGA-PBEsol)

Data for crystalline TcP2IrO at its relaxed geometry.

- space-group type = No. 123
- formation energy without anion corrections (kcal/mol of atoms) = 15.2

```
TcP2IrO
1.0
-0.050 -2.700 2.390
4.312 1.181 1.425
-1.849 2.878 3.212
Ir P O Tc
1 2 1 1
Cartesian
0.000 0.000 0.000
2.156 0.591 0.712
-0.925 1.439 1.606
-0.025 -1.350 1.195
1.206 0.679 3.513
```

=====

## Ga2Hg2Bi (GGA-PBEsol)

Data for crystalline Ga2Hg2Bi at its relaxed geometry.

- space-group type = No. 127
- formation enthalpy at 0 K (eV/atom) = 0.054

```
Ga2Hg2Bi
1.0
3.244 0.000 0.000
0.000 8.408 0.000
0.000 0.000 8.408
Ga Hg Bi
4 4 2
Cartesian
1.622 3.135 1.069
1.622 1.069 5.273
1.622 7.339 3.135
1.622 5.273 7.339
0.000 2.789 6.993
0.000 5.618 1.415
0.000 6.993 5.618
0.000 1.415 2.789
0.000 4.204 4.204
0.000 0.000 0.000
```

=====

## Dy2Mn12P7 (GGA-PBEsol)

Data for crystalline Dy2Mn12P7 at its relaxed geometry.

- space-group type = No. 174
- formation enthalpy at 0 K (eV/atom) = -0.739

```
Dy2Mn12P7
1.0
3.565 0.000 0.000
0.000 9.114 0.000
0.000 -4.557 7.893
P Mn Dy
7 12 2
Cartesian
1.783 -1.415 6.904
0.000 5.332 4.661
0.000 5.928 0.945
0.000 2.411 2.287
1.783 2.130 5.667
0.000 0.000 0.000
1.783 -0.715 3.215
0.000 3.656 0.379
1.783 4.472 6.144
1.783 7.642 0.948
0.000 3.057 4.538
1.783 0.790 7.541
0.000 0.159 2.180
0.000 2.589 6.941
1.783 -2.368 4.807
0.000 6.958 2.977
0.000 -2.749 6.665
1.783 1.557 0.801
1.783 1.578 3.439
0.000 0.000 5.262
1.783 4.557 2.631
```

=====

## Ca3HPb (GGA-PBEsol)

Data for crystalline Ca3HPb at its relaxed geometry.

- space-group type = No. 221

```
Ca3HPb
1.0
-3.470 1.901 2.926
-3.371 -2.892 -2.119
0.901 -3.499 3.341
Ca H Pb
3 1 1
Cartesian
-1.686 -1.446 -1.059
-1.735 0.950 1.463
0.451 -1.749 1.671
0.000 0.000 0.000
-2.970 -2.245 2.074
```

=====

## AlH3O3 (GGA-PBEsol)

Data for crystalline AlH3O3 at its relaxed geometry.

- space-group type = No. 14
- offset from the most stable computed form (meV/atom) = 7.2

```
AlH3O3
1.0
5.153 0.000 0.000
0.000 8.311 -0.943
0.000 -1.477 9.652
O H Al
24 24 8
Cartesian
0.682 0.083 1.067
1.805 -0.263 8.554
3.347 7.097 0.155
4.128 4.045 7.979
1.926 2.499 8.173
0.771 0.476 3.728
3.226 4.335 0.536
3.258 7.490 2.816
1.509 5.233 7.805
1.726 4.959 5.147
4.471 6.751 7.642
3.644 1.601 0.904
1.895 -0.656 5.893
4.503 3.597 5.362
4.302 1.137 8.388
4.382 6.358 4.981
1.025 2.789 0.730
1.551 2.050 5.556
0.851 5.697 0.321
1.068 5.972 2.979
3.601 4.784 3.153
3.427 1.875 3.562
0.650 3.237 3.347
4.085 0.862 5.730
4.486 3.145 8.202
0.938 7.408 4.950
0.667 3.689 0.507
0.919 5.753 1.320
4.417 6.376 5.986
4.234 1.081 7.389
3.312 7.115 1.160
3.495 1.820 2.563
4.343 3.784 6.328
3.514 -1.312 8.585
1.657 5.014 6.146
0.810 3.049 2.381
0.781 6.918 2.896
3.386 4.523 1.502
4.371 -0.085 5.813
1.910 2.950 5.333
3.358 0.654 0.987
1.795 6.180 7.722
4.215 -0.574 3.759
0.736 0.458 2.723
1.638 8.146 0.124
1.841 -0.281 7.549
1.767 2.311 7.207
3.243 3.884 3.376
5.038 6.862 -0.766
2.682 2.767 -0.279
2.690 6.124 4.060
0.106 4.806 4.162
5.047 2.028 4.547
2.462 0.710 4.649
2.471 4.067 8.988
0.114 -0.029 9.475
```

=====

## Li3CdS (GGA-PBEsol)

Data for crystalline Li3CdS at its relaxed geometry.

- space-group type = No. 221
- formation energy without anion corrections (kcal/mol of atoms) = -14.5

```
Li3CdS
1.0
-0.713 4.552 0.101
-3.915 -0.665 2.339
2.325 0.276 3.970
Li S Cd
3 1 1
Cartesian
-1.957 -0.333 1.170
-0.357 2.276 0.050
1.163 0.138 1.985
0.000 0.000 0.000
-1.152 2.082 3.205
```

=====

In the order shown, the computed E values come out to -7.654; -3.579; -2.662; -1.815; -1.830; -8.565; -6.927; -2.366; -8.722; -3.214; -6.025; -2.923 eV/atom.